Record 1
A geometry-optimized CdIn4Ga structure, computed with GGA-PBE.

a b c (Å): 5.648 5.648 10.605
angles (deg): 102.99 102.99 70.42
Fractional coordinates of all 12 atoms:
Cd  0.000  0.500  0.500
Cd  0.500  0.000  0.000
In  0.684  0.671  0.237
In  0.293  0.854  0.463
In  0.707  0.146  0.537
In  0.671  0.684  0.737
In  0.329  0.316  0.263
In  0.146  0.707  0.037
In  0.854  0.293  0.963
In  0.316  0.329  0.763
Ga  0.095  0.905  0.750
Ga  0.905  0.095  0.250

Summary:
The value obtained for the volume is 25.5 A^3/atom. As for the polymorph energy (0 for the lowest one): 0.000 eV per atom. As for the formation energy: 0.03 eV per atom. The value obtained for the total magnetization is 0.0 μB/f.u. The raw total energy is -2.448 eV/atom. The space-group type is C2/c, No. 15.

***

Record 2
A geometry-optimized CdInGa6 structure, computed with GGA-PBE.

a b c (Å): 4.064 6.378 6.378
angles (deg): 96.50 90.00 90.00
Fractional coordinates of all 8 atoms:
Cd  0.000  0.119  0.881
In  0.500  0.378  0.622
Ga  0.000  0.109  0.358
Ga  0.000  0.642  0.891
Ga  0.000  0.637  0.363
Ga  0.500  0.388  0.138
Ga  0.500  0.862  0.612
Ga  0.500  0.864  0.136

Summary:
The value obtained for the volume is 20.5 A^3/atom. As for the formation energy: 0.03 eV per atom. The value obtained for the total magnetization is 0.0 μB/f.u. The raw total energy is -2.694 eV/atom. The space-group type is Amm2, No. 38.

***

Record 3
A geometry-optimized Cd5In2Ga structure, computed with GGA-PBE.

a b c (Å): 5.013 6.699 6.699
angles (deg): 90.00 90.00 90.00
Fractional coordinates of all 8 atoms:
Cd  0.000  0.714  0.714
Cd  0.000  0.286  0.714
Cd  0.000  0.714  0.286
Cd  0.500  0.000  0.000
Cd  0.000  0.286  0.286
In  0.500  0.500  0.000
In  0.500  0.000  0.500
Ga  0.000  0.000  0.000

Summary:
The value obtained for the volume is 28.1 A^3/atom. As for the polymorph energy (0 for the lowest one): 0.154 eV per atom. As for the formation energy: 0.18 eV per atom. The value obtained for the total magnetization is 0.0 μB/f.u. The raw total energy is -1.453 eV/atom. The space-group type is P4/mmm, No. 123.